{"formula": "FeRuPt2F", "functional": "GGA+U", "state": "optimized geometry", "final_energy_ev_per_atom": -4.628, "dos_ef_per_ev_cell": 5.7, "total_magnetization_mub_per_fu": 4.08, "cell": [[-1.729, -4.381, -0.421], [4.348, -1.574, -1.476], [1.196, -0.903, 4.485]], "species": ["F", "Fe", "Pt", "Pt", "Ru"], "frac_coords": [[0.500, 0.500, 0.500], [0.000, 0.500, 0.000], [0.000, 0.000, 0.500], [0.500, 0.000, 0.000], [0.000, 0.000, 0.000]]}